1.
NdDyGeRh: optimized geometry, PBE.

The structure in POSCAR format:
```
NdDyGeRh
1.0
4.176 0.000 0.000
0.000 4.196 0.000
-2.088 0.000 5.331
Nd Dy Ge Rh
1 1 1 1
direct
0.145 0.000 0.290
0.864 0.500 0.729
0.571 0.500 0.142
0.420 0.000 0.840
```

Calculated values
Space-group type: Amm2 (38)
D(E_F), states/eV/f.u.: 3.54

2.
NdDyGeRh: optimized geometry, PBE.

The structure in POSCAR format:
```
NdDyGeRh
1.0
5.040 0.000 0.000
2.520 4.365 0.000
2.520 1.455 4.116
Rh Ge Nd Dy
1 1 1 1
direct
0.750 0.750 0.750
0.250 0.250 0.250
0.500 0.500 0.500
0.000 0.000 0.000
```

Calculated values
Space-group type: F-43m (216)
D(E_F), states/eV/f.u.: 2.50

Most stable: 1 (next structure +159 meV/atom)

1.
NdDyZnGe: optimized geometry, PBE.

The structure in POSCAR format:
```
NdDyZnGe
1.0
5.107 0.000 0.000
2.553 4.423 0.000
2.553 1.474 4.170
Ge Nd Zn Dy
1 1 1 1
direct
0.250 0.250 0.250
0.500 0.500 0.500
0.750 0.750 0.750
0.000 0.000 0.000
```

Calculated values
Space-group type: F-43m (216)
D(E_F), states/eV/f.u.: 2.58

2.
NdDyZnGe: optimized geometry, PBE.

The structure in POSCAR format:
```
NdDyZnGe
1.0
4.255 0.000 0.000
0.000 4.137 0.000
-2.128 0.000 5.590
Nd Dy Zn Ge
1 1 1 1
direct
0.145 0.000 0.290
0.862 0.500 0.723
0.570 0.500 0.140
0.424 0.000 0.847
```

Calculated values
Space-group type: Amm2 (38)
D(E_F), states/eV/f.u.: 4.15

Most stable: 2 (next structure +75 meV/atom)

1.
Dy2NiGe3: optimized geometry, PBE.

The structure in POSCAR format:
```
Dy2NiGe3
1.0
3.880 0.000 1.625
1.675 5.214 1.444
-0.095 0.025 5.673
Dy Ni Ge
2 1 3
direct
0.550 0.183 0.717
0.435 0.816 0.314
0.168 0.399 0.265
0.877 0.592 0.655
0.804 0.249 0.142
0.166 0.760 0.907
```

Calculated values
Space-group type: Cm (8)
D(E_F), states/eV/f.u.: 3.35

2.
Dy2NiGe3: optimized geometry, PBE.

The structure in POSCAR format:
```
Dy2NiGe3
1.0
4.026 0.000 0.000
0.000 4.197 0.000
0.000 0.000 7.072
Dy Ni Ge
2 1 3
direct
0.000 0.500 0.007
0.000 0.000 0.500
0.500 0.500 0.322
0.500 0.000 0.837
0.500 0.000 0.189
0.500 0.500 0.646
```

Calculated values
Space-group type: Pmm2 (25)
D(E_F), states/eV/f.u.: 2.62

Most stable: 2 (next structure +29 meV/atom)

1.
Dy2Ni3Ge5: optimized geometry, PBE.

The structure in POSCAR format:
```
Dy2Ni3Ge5
1.0
4.068 0.000 -0.693
0.000 6.730 0.000
-0.011 0.000 12.221
Dy Ni Ge
4 6 10
direct
0.477 0.743 0.953
0.174 0.751 0.347
0.826 0.251 0.653
0.523 0.243 0.047
0.779 0.722 0.557
0.607 0.514 0.213
0.054 0.960 0.107
0.221 0.222 0.443
0.946 0.460 0.893
0.393 0.014 0.787
0.405 0.378 0.809
0.286 0.527 0.572
0.714 0.027 0.428
0.120 0.256 0.240
0.297 0.938 0.593
0.950 0.077 0.901
0.703 0.438 0.407
0.880 0.756 0.760
0.050 0.577 0.099
0.595 0.878 0.191
```

Calculated values
Space-group type: Cmc2_1 (36)
D(E_F), states/eV/f.u.: 3.45

2.
Dy2Ni3Ge5: optimized geometry, PBE.

The structure in POSCAR format:
```
Dy2Ni3Ge5
1.0
5.893 0.000 0.000
2.946 7.579 0.053
2.946 1.221 7.480
Dy Ni Ge
4 6 10
direct
0.136 0.598 0.131
0.636 0.131 0.598
0.864 0.402 0.869
0.364 0.869 0.402
0.362 0.529 0.746
0.862 0.746 0.529
0.638 0.471 0.254
0.138 0.254 0.471
0.250 0.000 0.000
0.750 0.000 0.000
0.402 0.259 0.938
0.902 0.938 0.259
0.598 0.741 0.062
0.098 0.062 0.741
0.479 0.771 0.771
0.521 0.229 0.229
0.750 0.500 0.500
0.250 0.500 0.500
0.021 0.229 0.229
0.979 0.771 0.771
```

Calculated values
Space-group type: Ibam (72)
D(E_F), states/eV/f.u.: 3.02

Most stable: 2 (next structure +68 meV/atom)

1.
Dy2GeP: optimized geometry, PBE.

The structure in POSCAR format:
```
Dy2GeP
1.0
-2.276 -2.499 -1.751
1.501 -2.958 -1.868
-0.628 -6.780 6.354
P Ge Dy
1 1 2
direct
0.500 0.500 0.500
0.000 0.000 0.000
0.107 0.107 0.679
0.893 0.893 0.321
```

Calculated values
Space-group type: R-3m (166)
D(E_F), states/eV/f.u.: 3.39

2.
Dy2GeP: optimized geometry, PBE.

The structure in POSCAR format:
```
Dy2GeP
1.0
-1.789 -1.402 -3.255
3.703 -0.797 -1.693
-2.001 -9.796 5.320
Dy Ge P
4 2 2
direct
0.750 0.688 0.376
0.250 0.312 0.624
0.750 0.933 0.866
0.250 0.067 0.134
0.250 0.458 0.916
0.750 0.542 0.084
0.250 0.188 0.376
0.750 0.812 0.624
```

Calculated values
Space-group type: Cmcm (63)
D(E_F), states/eV/f.u.: 1.40

Most stable: 2 (next structure +669 meV/atom)

1.
DyPa2Ge: optimized geometry, PBE.

The structure in POSCAR format:
```
DyPa2Ge
1.0
-3.244 3.693 0.910
-2.922 -2.896 1.335
1.513 0.334 4.038
Ge Pa Dy
1 2 1
direct
0.500 0.500 0.500
0.000 0.000 0.500
0.000 0.500 0.000
0.500 0.000 0.000
```

Calculated values
Space-group type: P4/mmm (123)
D(E_F), states/eV/f.u.: 5.64

2.
DyPa2Ge: optimized geometry, PBE.

The structure in POSCAR format:
```
DyPa2Ge
1.0
3.185 0.000 0.000
1.593 2.758 0.000
1.593 0.919 11.376
Ge Pa Dy
1 2 1
direct
0.500 0.500 0.500
0.094 0.094 0.717
0.906 0.906 0.283
0.000 0.000 0.000
```

Calculated values
Space-group type: R-3m (166)
D(E_F), states/eV/f.u.: 7.40

Most stable: 1 (next structure +379 meV/atom)